## MgCrGa3 (PBE)

Data for crystalline MgCrGa3 at its relaxed geometry.

Unit cell a=4.689 b=4.689 c=4.689 alpha=90.00 beta=90.00 gamma=90.00
Space group Pm-3m (No. 221)
Inequivalent atoms, fractional coordinates:
Mg: 0.000 0.000 0.000 [1 per cell]
Cr: 0.500 0.500 0.500 [1 per cell]
Ga: 0.000 0.500 0.500 [3 per cell]

## Properties
- volume (Å³ per atom) = 20.6
- total magnetization (μB per atom) = 0.173
- final energy (eV per atom) = -3.788
- calculated formation energy (eV/f.u.) = 1.4
- relative energy among the computed polymorphs (meV/atom) = 0